[1]
DFT (PBE) results for SrRuF6 after structural relaxation.

a b c (Å): 5.488 5.488 5.244
angles (deg): 90.00 90.00 120.00
Sites, in units of the cell vectors:
Sr  0.000  0.000  0.000
Ru  0.667  0.333  0.500
F  0.378  0.047  0.720
F  0.378  0.331  0.280
F  0.669  0.047  0.280
F  0.669  0.622  0.720
F  0.953  0.331  0.720
F  0.953  0.622  0.280

## Properties
Crystal system: trigonal
Uncorrected energy (eV/atom): -5.34

[2]
DFT (PBE) results for Be3IrPt after structural relaxation.

a b c (Å): 4.123 4.123 4.123
angles (deg): 90.00 90.00 90.00
Sites, in units of the cell vectors:
Be  0.000  0.000  0.500
Be  0.000  0.500  0.000
Be  0.500  0.000  0.000
Ir  0.000  0.000  0.000
Pt  0.500  0.500  0.500

## Properties
Crystal system: cubic
ΔE to the lowest computed polymorph (eV/atom): 0.000

[3]
DFT (PBE) results for Y3C5 after structural relaxation.

a b c (Å): 3.514 3.514 9.811
angles (deg): 90.00 90.00 90.00
Sites, in units of the cell vectors:
Y  0.000  0.000  0.000
Y  0.500  0.500  0.303
Y  0.500  0.500  0.697
C  0.000  0.000  0.363
C  0.000  0.000  0.500
C  0.000  0.000  0.637
C  0.500  0.500  0.070
C  0.500  0.500  0.930

## Properties
Crystal system: tetragonal
ΔE to the lowest computed polymorph (eV/atom): 0.000

It is found that the density of states at the Fermi level values, taken in the order of the records, are 7.86; 2.03; 1.91 states/eV/cell.
It is found that the mass density values, taken in the order of the records, are 3.675; 9.819; 4.479 g/cm³.